1.
The following is a PBE-GGA calculation of a relaxed structure of ErPuTlBi, from Alexandria.

Properties
total energy: -6.5344 eV per atom
total magnetic moment: 6.41 μB per formula unit
DFT formation energy: -0.25 eV/atom

The structure in CIF format:
```
data_ErPuTlBi
_chemical_formula_sum 'Er4 Pu4 Tl4 Bi4'
_cell_length_a 7.673
_cell_length_b 7.673
_cell_length_c 7.673
_cell_angle_alpha 90.00
_cell_angle_beta 90.00
_cell_angle_gamma 90.00
_space_group_name_H-M_alt 'F -4 3 m'
_space_group_IT_number 216
_space_group_name_Hall 'F -4 2 3'
loop_
_atom_site_label
_atom_site_type_symbol
_atom_site_fract_x
_atom_site_fract_y
_atom_site_fract_z
Er1 Er 0.000 0.000 0.000
Pu1 Pu 0.000 0.000 0.500
Tl1 Tl 0.250 0.250 0.250
Bi1 Bi 0.250 0.250 0.750
```

2.
The following is a PBE-GGA calculation of a relaxed structure of PaTa2AlC4, from Alexandria.

Properties
total energy: -9.5508 eV per atom
total magnetic moment: 0.00 μB per formula unit
DFT formation energy: -0.32 eV/atom

The structure in CIF format:
```
data_PaTa2AlC4
_chemical_formula_sum 'Pa4 Ta8 Al4 C16'
_cell_length_a 3.255
_cell_length_b 10.950
_cell_length_c 11.125
_cell_angle_alpha 90.00
_cell_angle_beta 90.00
_cell_angle_gamma 90.00
_space_group_name_H-M_alt 'C m c m'
_space_group_IT_number 63
_space_group_name_Hall '-C 2c 2'
loop_
_atom_site_label
_atom_site_type_symbol
_atom_site_fract_x
_atom_site_fract_y
_atom_site_fract_z
Pa1 Pa 0.000 0.115 0.250
Ta1 Ta 0.000 0.370 0.041
Al1 Al 0.000 0.150 0.750
C1 C 0.000 0.000 0.000
C2 C 0.000 0.266 0.617
C3 C 0.000 0.452 0.250
```

3.
The following is a PBE-GGA calculation of a relaxed structure of ZrMnCr2Si, from Alexandria.

Properties
total energy: -7.9773 eV per atom
formation energy (no corrections): 0.500 eV per atom
total magnetic moment: 5.05 μB per formula unit

The structure in CIF format:
```
data_ZrMnCr2Si
_chemical_formula_sum 'Zr1 Mn1 Cr2 Si1'
_cell_length_a 4.367
_cell_length_b 4.367
_cell_length_c 4.266
_cell_angle_alpha 90.00
_cell_angle_beta 90.00
_cell_angle_gamma 90.00
_space_group_name_H-M_alt 'P 4/m m m'
_space_group_IT_number 123
_space_group_name_Hall '-P 4 2'
loop_
_atom_site_label
_atom_site_type_symbol
_atom_site_fract_x
_atom_site_fract_y
_atom_site_fract_z
Zr1 Zr 0.000 0.000 0.000
Mn1 Mn 0.500 0.500 0.000
Cr1 Cr 0.000 0.500 0.500
Si1 Si 0.500 0.500 0.500
```

4.
The following is a PBE-GGA calculation of a relaxed structure of TbPbN, from Alexandria.

Properties
total energy: -6.2425 eV per atom
formation energy (no corrections): -0.688 eV per atom
total magnetic moment: 0.00 μB per formula unit

The structure in CIF format:
```
data_TbPbN
_chemical_formula_sum 'Tb2 Pb2 N2'
_cell_length_a 3.394
_cell_length_b 3.394
_cell_length_c 11.957
_cell_angle_alpha 90.00
_cell_angle_beta 90.00
_cell_angle_gamma 90.00
_space_group_name_H-M_alt 'I 4 m m'
_space_group_IT_number 107
_space_group_name_Hall 'I 4 -2'
loop_
_atom_site_label
_atom_site_type_symbol
_atom_site_fract_x
_atom_site_fract_y
_atom_site_fract_z
Tb1 Tb 0.000 0.000 0.000
Pb1 Pb 0.000 0.000 0.290
N1 N 0.000 0.000 0.495
```

5.
The following is a PBE-GGA calculation of a relaxed structure of Pm3HoZn, from Alexandria.

Properties
total energy: -3.9590 eV per atom
total magnetic moment: 0.00 μB per formula unit
DFT formation energy: 0.06 eV/atom

The structure in CIF format:
```
data_Pm3HoZn
_chemical_formula_sum 'Pm12 Ho4 Zn4'
_cell_length_a 11.939
_cell_length_b 8.966
_cell_length_c 7.889
_cell_angle_alpha 90.00
_cell_angle_beta 130.62
_cell_angle_gamma 90.00
_space_group_name_H-M_alt 'C 1 2/m 1'
_space_group_IT_number 12
_space_group_name_Hall '-C 2y'
loop_
_atom_site_label
_atom_site_type_symbol
_atom_site_fract_x
_atom_site_fract_y
_atom_site_fract_z
Pm1 Pm 0.053 0.000 0.324
Pm2 Pm 0.223 0.308 0.752
Ho1 Ho 0.065 0.500 0.265
Zn1 Zn 0.242 0.500 0.113
```

6.
The following is a PBE-GGA calculation of a relaxed structure of CdSn3Ge, from Alexandria.

Properties
total energy: -3.0214 eV per atom
energy above the most stable polymorph in this dataset: 0.00 eV per formula unit
total magnetic moment: 0.00 μB per formula unit
DFT formation energy: 0.49 eV/atom

The structure in CIF format:
```
data_CdSn3Ge
_chemical_formula_sum 'Cd1 Sn3 Ge1'
_cell_length_a 5.391
_cell_length_b 5.391
_cell_length_c 5.391
_cell_angle_alpha 90.00
_cell_angle_beta 90.00
_cell_angle_gamma 90.00
_space_group_name_H-M_alt 'P m -3 m'
_space_group_IT_number 221
_space_group_name_Hall '-P 4 2 3'
loop_
_atom_site_label
_atom_site_type_symbol
_atom_site_fract_x
_atom_site_fract_y
_atom_site_fract_z
Cd1 Cd 0.000 0.000 0.000
Sn1 Sn 0.000 0.500 0.500
Ge1 Ge 0.500 0.500 0.500
```

7.
The following is a PBE-GGA calculation of a relaxed structure of Li2Ca2Tl3, from Alexandria.

Properties
total energy: -2.3958 eV per atom
energy above the most stable polymorph in this dataset: 0.34 eV per formula unit
total magnetic moment: 0.00 μB per formula unit
DFT formation energy: -0.26 eV/atom

The structure in CIF format:
```
data_Li2Ca2Tl3
_chemical_formula_sum 'Li4 Ca4 Tl6'
_cell_length_a 11.175
_cell_length_b 4.661
_cell_length_c 7.851
_cell_angle_alpha 90.00
_cell_angle_beta 116.83
_cell_angle_gamma 90.00
_space_group_name_H-M_alt 'C 1 2/m 1'
_space_group_IT_number 12
_space_group_name_Hall '-C 2y'
loop_
_atom_site_label
_atom_site_type_symbol
_atom_site_fract_x
_atom_site_fract_y
_atom_site_fract_z
Li1 Li 0.130 0.000 0.206
Ca1 Ca 0.143 0.000 0.771
Tl1 Tl 0.000 0.500 0.000
Tl2 Tl 0.128 0.500 0.449
```

8.
The following is a PBE-GGA calculation of a relaxed structure of NaLiSnPd, from Alexandria.

Properties
total energy: -3.4910 eV per atom
total magnetic moment: 0.00 μB per formula unit
DFT formation energy: -0.38 eV/atom

The structure in CIF format:
```
data_NaLiSnPd
_chemical_formula_sum 'Na4 Li4 Sn4 Pd4'
_cell_length_a 6.649
_cell_length_b 6.649
_cell_length_c 6.649
_cell_angle_alpha 90.00
_cell_angle_beta 90.00
_cell_angle_gamma 90.00
_space_group_name_H-M_alt 'F -4 3 m'
_space_group_IT_number 216
_space_group_name_Hall 'F -4 2 3'
loop_
_atom_site_label
_atom_site_type_symbol
_atom_site_fract_x
_atom_site_fract_y
_atom_site_fract_z
Na1 Na 0.000 0.000 0.000
Li1 Li 0.250 0.250 0.750
Sn1 Sn 0.000 0.000 0.500
Pd1 Pd 0.250 0.250 0.250
```

9.
The following is a PBE-GGA calculation of a relaxed structure of LaSc2Ta, from Alexandria.

Properties
total energy: -7.0644 eV per atom
total magnetic moment: 0.00 μB per formula unit
DFT formation energy: 0.30 eV/atom

The structure in CIF format:
```
data_LaSc2Ta
_chemical_formula_sum 'La2 Sc4 Ta2'
_cell_length_a 4.683
_cell_length_b 4.683
_cell_length_c 8.816
_cell_angle_alpha 90.00
_cell_angle_beta 90.00
_cell_angle_gamma 90.00
_space_group_name_H-M_alt 'I 4/m m m'
_space_group_IT_number 139
_space_group_name_Hall '-I 4 2'
loop_
_atom_site_label
_atom_site_type_symbol
_atom_site_fract_x
_atom_site_fract_y
_atom_site_fract_z
La1 La 0.000 0.000 0.000
Sc1 Sc 0.000 0.500 0.250
Ta1 Ta 0.000 0.000 0.500
```

10.
The following is a PBE-GGA calculation of a relaxed structure of Na2AlCl5, from Alexandria.

Properties
total energy: -3.5591 eV per atom
formation energy (no corrections): -1.607 eV per atom
energy above the most stable polymorph in this dataset: 0.35 eV per formula unit
total magnetic moment: 0.00 μB per formula unit

The structure in CIF format:
```
data_Na2AlCl5
_chemical_formula_sum 'Na8 Al4 Cl20'
_cell_length_a 5.172
_cell_length_b 13.302
_cell_length_c 12.494
_cell_angle_alpha 90.00
_cell_angle_beta 90.00
_cell_angle_gamma 90.00
_space_group_name_H-M_alt 'C m c m'
_space_group_IT_number 63
_space_group_name_Hall '-C 2c 2'
loop_
_atom_site_label
_atom_site_type_symbol
_atom_site_fract_x
_atom_site_fract_y
_atom_site_fract_z
Na1 Na 0.000 0.151 0.077
Al1 Al 0.000 0.178 0.750
Cl1 Cl 0.000 0.059 0.622
Cl2 Cl 0.000 0.301 0.618
Cl3 Cl 0.000 0.302 0.250
```

11.
The following is a PBE-GGA calculation of a relaxed structure of Li2Ga2Pb, from Alexandria.

Properties
total energy: -2.8343 eV per atom
energy above the most stable polymorph in this dataset: 0.32 eV per formula unit
total magnetic moment: 0.00 μB per formula unit
DFT formation energy: -0.12 eV/atom

The structure in CIF format:
```
data_Li2Ga2Pb
_chemical_formula_sum 'Li4 Ga4 Pb2'
_cell_length_a 7.694
_cell_length_b 7.694
_cell_length_c 3.333
_cell_angle_alpha 90.00
_cell_angle_beta 90.00
_cell_angle_gamma 90.00
_space_group_name_H-M_alt 'P 4/m b m'
_space_group_IT_number 127
_space_group_name_Hall '-P 4 2ab'
loop_
_atom_site_label
_atom_site_type_symbol
_atom_site_fract_x
_atom_site_fract_y
_atom_site_fract_z
Li1 Li 0.137 0.363 0.000
Ga1 Ga 0.156 0.656 0.500
Pb1 Pb 0.000 0.000 0.000
```

12.
The following is a PBE-GGA calculation of a relaxed structure of Rb2PuMgCl6, from Alexandria.

Properties
total energy: -4.7374 eV per atom
formation energy (no corrections): -1.843 eV per atom
total magnetic moment: 6.00 μB per formula unit

The structure in CIF format:
```
data_Rb2PuMgCl6
_chemical_formula_sum 'Rb4 Pu2 Mg2 Cl12'
_cell_length_a 7.551
_cell_length_b 10.674
_cell_length_c 7.546
_cell_angle_alpha 90.00
_cell_angle_beta 90.00
_cell_angle_gamma 90.00
_space_group_name_H-M_alt 'P m m n'
_space_group_IT_number 59
loop_
_space_group_symop_operation_xyz
'x,y,z'
'-x,-y,-z'
'-x+1/2,-y+1/2,z'
'x+1/2,y+1/2,-z'
'x+1/2,-y,-z'
'-x+1/2,y,z'
'-x,y+1/2,-z'
'x,-y+1/2,z'
loop_
_atom_site_label
_atom_site_type_symbol
_atom_site_fract_x
_atom_site_fract_y
_atom_site_fract_z
Rb1 Rb 0.250 0.001 0.249
Pu1 Pu 0.250 0.750 0.749
Mg1 Mg 0.250 0.250 0.751
Cl1 Cl 0.013 0.250 0.515
Cl2 Cl 0.014 0.250 0.987
Cl3 Cl 0.250 0.014 0.751
```